A plane-wave DFT calculation with PBE was carried out for a relaxed structure of NbAs2IrBr.

Cell: 4.745 4.745 5.248 Å, 90.00 90.00 90.00°
Fractional positions:
Nb (0.000, 0.000, 0.000)
As (0.000, 0.500, 0.500)
As (0.500, 0.000, 0.500)
Ir (0.500, 0.500, 0.500)
Br (0.500, 0.500, 0.000)

The energy above the lowest structure with this stoichiometry is 0 meV per atom. The calculation puts the final energy at -5.0679 eV/atom. Its uncorrected formation energy is 0.91 eV per atom. As for the crystal system: tetragonal.

---

A plane-wave DFT calculation with PBE was carried out for a relaxed structure of YAgMo2.

Cell: 10.484 10.484 10.484 Å, 15.85 15.85 15.85°
Fractional positions:
Y (0.000, 0.000, 0.000)
Ag (0.500, 0.500, 0.500)
Mo (0.245, 0.245, 0.245)
Mo (0.755, 0.755, 0.755)

The energy above the lowest structure with this stoichiometry is 573 meV per atom. The calculation puts the final energy at -6.9778 eV/atom. As for the crystal system: trigonal. The value obtained for the formation enthalpy at 0 K is 0.77 eV per atom.

---

A plane-wave DFT calculation with PBE was carried out for a relaxed structure of ZrNbCoTe2.

Cell: 4.954 4.954 4.541 Å, 90.00 90.00 90.00°
Fractional positions:
Zr (0.000, 0.000, 0.000)
Nb (0.500, 0.500, 0.000)
Co (0.000, 0.000, 0.500)
Te (0.000, 0.500, 0.500)
Te (0.500, 0.000, 0.500)

The calculation puts the final energy at -5.8762 eV/atom. Its uncorrected formation energy is 0.53 eV per atom. As for the crystal system: tetragonal.

---

A plane-wave DFT calculation with PBE was carried out for a relaxed structure of Ni3TeOs.

Cell: 4.546 4.546 4.546 Å, 90.00 90.00 90.00°
Fractional positions:
Ni (0.000, 0.000, 0.500)
Ni (0.000, 0.500, 0.000)
Ni (0.500, 0.000, 0.000)
Te (0.500, 0.500, 0.500)
Os (0.000, 0.000, 0.000)

The energy above the lowest structure with this stoichiometry is 0 meV per atom. The calculation puts the final energy at -5.1551 eV/atom. Its uncorrected formation energy is 1.19 eV per atom. As for the crystal system: cubic.

---

A plane-wave DFT calculation with PBE was carried out for a relaxed structure of Ca2InAs.

Cell: 5.383 5.383 5.383 Å, 60.00 60.00 60.00°
Fractional positions:
Ca (0.000, 0.000, 0.000)
Ca (0.250, 0.250, 0.250)
In (0.500, 0.500, 0.500)
As (0.750, 0.750, 0.750)

The energy above the lowest structure with this stoichiometry is 499 meV per atom. The calculation puts the final energy at -3.0692 eV/atom. As for the crystal system: cubic. The value obtained for the formation enthalpy at 0 K is -0.22 eV per atom.

---

A plane-wave DFT calculation with PBE was carried out for a relaxed structure of Tl2Cd4In9.

Cell: 5.090 5.090 18.796 Å, 90.00 90.00 120.00°
Fractional positions:
Tl (0.333, 0.667, 0.258)
Tl (0.667, 0.333, 0.742)
Cd (0.333, 0.667, 0.612)
Cd (0.333, 0.667, 0.866)
Cd (0.667, 0.333, 0.134)
Cd (0.667, 0.333, 0.388)
In (0.000, 0.000, 0.000)
In (0.000, 0.000, 0.174)
In (0.000, 0.000, 0.348)
In (0.000, 0.000, 0.652)
In (0.000, 0.000, 0.826)
In (0.333, 0.667, 0.062)
In (0.333, 0.667, 0.449)
In (0.667, 0.333, 0.551)
In (0.667, 0.333, 0.938)

The calculation puts the final energy at -2.1463 eV/atom. As for the crystal system: trigonal. The value obtained for the formation enthalpy at 0 K is 0.06 eV per atom.

---

What did the fourth record say?
A plane-wave DFT calculation with PBE was carried out for a relaxed structure of Ni3TeOs.

Cell: 4.546 4.546 4.546 Å, 90.00 90.00 90.00°
Fractional positions:
Ni (0.000, 0.000, 0.500)
Ni (0.000, 0.500, 0.000)
Ni (0.500, 0.000, 0.000)
Te (0.500, 0.500, 0.500)
Os (0.000, 0.000, 0.000)

The energy above the lowest structure with this stoichiometry is 0 meV per atom. The calculation puts the final energy at -5.1551 eV/atom. Its uncorrected formation energy is 1.19 eV per atom. As for the crystal system: cubic.